DFT (PBE-GGA) results for a geometry-optimized Sr2YScNi structure.

Structure (POSCAR):
```
Sr2YScNi
1.0
6.0312 0.0000 0.0000
0.0000 6.0312 0.0000
0.0000 0.0000 5.3717
Sr Y Sc Ni
2 1 1 1
direct
0.0000 0.5000 0.0000
0.5000 0.0000 0.0000
0.0000 0.0000 0.5000
0.0000 0.0000 0.0000
0.5000 0.5000 0.5000
```


DFT (PBE-GGA) results for a geometry-optimized SrSc2ZnNi structure.

Structure (POSCAR):
```
SrSc2ZnNi
1.0
5.0404 0.0000 0.0000
0.0000 5.0404 0.0000
0.0000 0.0000 5.7583
Sr Sc Zn Ni
1 2 1 1
direct
0.0000 0.0000 0.0000
0.0000 0.5000 0.5000
0.5000 0.0000 0.5000
0.0000 0.0000 0.5000
0.5000 0.5000 0.0000
```


DFT (PBE-GGA) results for a geometry-optimized SrScZnNi2 structure.

Structure (POSCAR):
```
SrScZnNi2
1.0
4.6946 0.0000 0.0000
0.0000 4.6946 0.0000
0.0000 0.0000 4.8447
Sr Sc Zn Ni
1 1 1 2
direct
0.0000 0.0000 0.0000
0.5000 0.5000 0.0000
0.5000 0.5000 0.5000
0.0000 0.5000 0.5000
0.5000 0.0000 0.5000
```


DFT (PBE-GGA) results for a geometry-optimized ScTa2Ni structure.

Structure (POSCAR):
```
ScTa2Ni
1.0
2.8635 0.0000 0.0000
0.0000 4.4420 0.0000
-1.0082 0.0000 5.4321
Sc Ta Ni
1 2 1
direct
0.0000 0.0000 0.0000
0.4436 0.0000 0.5164
0.7090 0.5000 0.2772
0.2499 0.5000 0.7596
```

Calculated values
Energy above the most stable polymorph in this dataset in meV/atom: 203


DFT (PBE-GGA) results for a geometry-optimized Sc2TaNi structure.

Structure (POSCAR):
```
Sc2TaNi
1.0
-1.9867 1.9867 4.6145
1.9867 -1.9867 4.6145
1.9867 1.9867 -4.6145
Sc Ta Ni
2 1 1
direct
0.0000 0.0000 0.0000
0.7500 0.2500 0.5000
0.2500 0.7500 0.5000
0.5000 0.5000 0.0000
```

Calculated values
Energy above the most stable polymorph in this dataset in meV/atom: 287


DFT (PBE-GGA) results for a geometry-optimized ScTa2Ni2 structure.

Structure (POSCAR):
```
ScTa2Ni2
1.0
7.7154 0.0000 0.0000
0.0000 7.7154 0.0000
0.0000 0.0000 2.7184
Sc Ta Ni
2 4 4
direct
0.0000 0.0000 0.0000
0.5000 0.5000 0.0000
0.1270 0.3730 0.0000
0.3730 0.8730 0.0000
0.6270 0.1270 0.0000
0.8730 0.6270 0.0000
0.1710 0.6710 0.5000
0.3290 0.1710 0.5000
0.6710 0.8290 0.5000
0.8290 0.3290 0.5000
```

Calculated values
Energy above the most stable polymorph in this dataset in meV/atom: 125


Sequential ΔE_f output: 1.2197 0.6369 0.3856 0.1399 0.1623 -0.0094 eV per atom